No. 1
Compound: CeDyPuOs
Source: the Alexandria database
Functional: GGA-PBE
Structure: relaxed

```
CeDyPuOs
1.0
5.041 0.000 0.000
2.520 4.365 0.000
2.520 1.455 4.116
Ce Dy Pu Os
1 1 1 1
Cartesian
5.041 2.910 2.058 Ce
0.000 0.000 0.000 Dy
2.520 1.455 1.029 Pu
7.561 4.365 3.087 Os
```

* total magnetic moment: 7.0 μB per formula unit
* calculated formation energy: 0.12 eV/atom
* raw total energy: -8.906 eV/atom



No. 2
Compound: BaGeS2O8
Source: the Alexandria database
Functional: GGA-PBE
Structure: relaxed

```
BaGeS2O8
1.0
-3.806 3.673 -1.349
-5.201 -1.549 -0.589
-4.059 1.857 5.465
O Ge Ba S
8 1 1 2
Cartesian
-6.058 1.478 -0.971 O
-8.807 3.970 2.527 O
-3.635 2.342 0.658 O
-1.936 0.702 1.260 O
-4.258 0.011 1.000 O
-11.130 3.278 2.267 O
-9.431 1.639 2.869 O
-7.008 2.503 4.498 O
0.000 0.000 0.000 Ge
-6.533 1.990 1.763 Ba
-9.877 3.062 3.073 S
-3.189 0.918 0.454 S
```

* total magnetic moment: 0.0 μB per formula unit
* formation energy (no corrections): -20.54 eV/f.u.
* raw total energy: -6.250 eV/atom



No. 3
Compound: ErZrTa
Source: the Alexandria database
Functional: GGA-PBE
Structure: relaxed

```
ErZrTa
1.0
-1.451 -2.211 -5.058
-0.994 -4.527 -0.956
-7.445 0.071 -1.116
Er Zr Ta
2 2 2
Cartesian
-5.307 -3.886 -4.829 Er
-4.582 -2.781 -2.300 Er
-2.001 -0.882 -2.260 Zr
-6.895 -1.258 -3.913 Zr
-1.540 -3.354 -4.532 Ta
-0.904 -3.384 -1.482 Ta
```

* total magnetic moment: 0.0 μB per formula unit
* calculated formation energy: 0.64 eV/atom
* raw total energy: -7.679 eV/atom